(1)
The following is a PBE calculation of an optimized crystal structure of CrTc, from the Alexandria database.

Lattice parameters (Å, degrees): 8.678 8.678 2.925 90.00 90.00 90.00
Fractional coordinates of all 16 atoms:
1 Cr 0.161 0.500 0.000
2 Cr 0.839 0.500 0.000
3 Cr 0.500 0.839 0.000
4 Cr 0.500 0.161 0.000
5 Cr 0.661 0.000 0.500
6 Cr 0.339 0.000 0.500
7 Cr 0.000 0.339 0.500
8 Cr 0.000 0.661 0.500
9 Tc 0.839 0.839 0.000
10 Tc 0.839 0.161 0.000
11 Tc 0.161 0.839 0.000
12 Tc 0.161 0.161 0.000
13 Tc 0.339 0.339 0.500
14 Tc 0.339 0.661 0.500
15 Tc 0.661 0.339 0.500
16 Tc 0.661 0.661 0.500

Results
SG: I4/mmm, No. 139
E_tot: -9.7906 eV/atom
DFT formation energy: 204 meV per atom

---

(2)
The following is a PBE calculation of an optimized crystal structure of SrPuCu2Te4, from the Alexandria database.

Lattice parameters (Å, degrees): 6.993 6.738 6.738 71.55 58.74 58.74
Fractional coordinates of all 8 atoms:
1 Sr 0.000 0.000 0.000
2 Pu 0.500 0.500 0.500
3 Cu 0.153 0.347 0.347
4 Cu 0.847 0.653 0.653
5 Te 0.476 0.044 0.505
6 Te 0.025 0.956 0.495
7 Te 0.975 0.505 0.044
8 Te 0.524 0.495 0.956

Results
SG: I222, No. 23
E_tot: -5.1637 eV/atom
E_form (uncorrected): -13.08 kcal/mol of atoms

---

(3)
The following is a PBE calculation of an optimized crystal structure of PuGa4Cu2Ru, from the Alexandria database.

Lattice parameters (Å, degrees): 4.189 4.189 9.193 76.83 76.83 60.00
Fractional coordinates of all 8 atoms:
1 Pu 0.000 0.000 0.000
2 Ga 0.401 0.401 0.798
3 Ga 0.869 0.869 0.392
4 Ga 0.131 0.131 0.608
5 Ga 0.599 0.599 0.202
6 Cu 0.766 0.766 0.701
7 Cu 0.234 0.234 0.299
8 Ru 0.500 0.500 0.500

Results
SG: R-3m, No. 166
E_tot: -5.6765 eV/atom
DFT formation energy: -188 meV per atom

---

(4)
The following is a PBE calculation of an optimized crystal structure of CaY2, from the Alexandria database.

Lattice parameters (Å, degrees): 6.371 6.371 6.371 147.27 131.36 59.87
Fractional coordinates of all 3 atoms:
1 Y 0.673 0.673 0.000
2 Y 0.327 0.327 0.000
3 Ca 0.000 0.000 0.000

Results
SG: Immm, No. 71
E_tot: -4.8428 eV/atom
DFT formation energy: 134 meV per atom